The following is a DFT calculation (GGA-PBE) of a geometry-optimized Re6TcRh structure.

a = 4.7807 Å, b = 6.1709 Å, c = 6.7577 Å
α = 43.10°, β = 61.89°, γ = 75.01°
Atoms (fractional coordinates):
Re1 0.3743 0.1258 0.1258
Re2 0.6257 0.8742 0.8742
Re3 0.2507 0.7492 0.7492
Re4 0.8743 0.6258 0.6257
Re5 0.1257 0.3742 0.3743
Re6 0.7492 0.2508 0.2508
Tc1 0.0000 0.0000 0.0000
Rh1 0.5000 0.5000 0.5000

## Properties
D(E_F) = 0.975 states/eV per atom
DFT formation energy = 0.022 eV/atom
magnetization = 0.0 μB per cell



The following is a DFT calculation (GGA-PBE) of a geometry-optimized Re2Tc5Rh structure.

a = 5.5178 Å, b = 5.5179 Å, c = 5.2082 Å
α = 105.48°, β = 105.48°, γ = 119.74°
Atoms (fractional coordinates):
Re1 0.2361 0.8189 0.4993
Re2 0.7368 0.3196 0.5007
Rh1 0.8184 0.7375 0.0000
Tc1 0.3173 0.7328 0.0000
Tc2 0.7376 0.8182 0.5000
Tc3 0.2376 0.3182 0.5000
Tc4 0.8229 0.2384 0.0000
Tc5 0.3164 0.2394 0.0000

## Properties
D(E_F) = 0.908 states/eV per atom
DFT formation energy = -0.067 eV/atom
magnetization = 0.0 μB per cell



- Which value of DFT formation energy does entry 1 give?
  0.022 eV/atom